(1)
TlP2RuCl | the Alexandria database | meta-GGA SCAN | PBEsol geometry; formation energy without anion corrections = 1627 meV per atom; DOS(E_F) = 0.907 states/eV/atom; total magnetization = 4.0 μB/f.u.
1.0
-3.498 1.828 -3.026
-1.668 -4.607 -0.855
-3.190 0.423 3.942
Ru P Cl Tl
1 2 1 1
Direct
0.500 0.500 0.500
0.000 0.500 0.000
0.500 0.000 0.000
0.000 0.000 0.500
0.000 0.000 0.000

=====

(2)
PRuWCl2 | the Alexandria database | meta-GGA SCAN | PBEsol geometry; formation energy without anion corrections = 965 meV per atom; DOS(E_F) = 0.474 states/eV/atom; total magnetization = 3.1 μB/f.u.
1.0
4.572 0.000 0.000
0.000 4.572 0.000
0.000 0.000 4.819
Ru Cl P W
1 2 1 1
Direct
0.500 0.500 0.500
0.500 0.000 0.000
0.000 0.500 0.000
0.000 0.000 0.500
0.000 0.000 0.000

=====

| no. | energy relative to the lowest polymorph listed for this composition (meV per atom) |
| --- | --- |
| 1 | 1527 |
| 2 | 0 |